A relaxed structure of TbNd6Dy3Tm2. Source: Alexandria, functional PBE-GGA.

Values from the calculation:
E_form	0.0124	eV/atom
total energy	-4.65	eV/atom
M_tot	0.000	Bohr magnetons per cell

Cell and atoms, written as POSCAR:
```
TbNd6Dy3Tm2
1.0
-0.138 1.746 6.011
-5.239 -1.962 -2.811
4.147 -10.861 2.167
Tb Nd Dy Tm
1 6 3 2
Direct
0.000 0.000 0.000 Tb
0.916 0.583 0.751 Nd
0.750 0.750 0.249 Nd
0.084 0.417 0.249 Nd
0.583 0.916 0.751 Nd
0.250 0.250 0.751 Nd
0.417 0.084 0.249 Nd
0.167 0.833 0.500 Dy
0.833 0.167 0.500 Dy
0.500 0.500 0.500 Dy
0.333 0.667 0.000 Tm
0.667 0.333 0.000 Tm
```